The following is a DFT calculation (PBE) of a relaxed structure of AsPtSCl2.

Results
The total magnetization is 0.7 μB per cell.

Cell: 4.7409 4.7409 5.1302 Å, 90.00 90.00 90.00°
With the nearest neighbours (Å) after each atom.
Fractional coordinates of all 5 atoms:
As (0.0000, 0.0000, 0.0000)  4 Cl 2.37, 2 S 2.57
Pt (0.5000, 0.5000, 0.5000)  4 S 3.35, 8 Cl 3.49
S (0.0000, 0.0000, 0.5000)  2 As 2.57
Cl (0.0000, 0.5000, 0.0000)  2 As 2.37
Cl (0.5000, 0.0000, 0.0000)  2 As 2.37

=====

The following is a DFT calculation (PBE) of a relaxed structure of SrZrCl2.

Results
The total magnetization is 0.0 μB per cell.

Cell: 7.0309 7.0309 7.0309 Å, 90.00 90.00 90.00°
With the nearest neighbours (Å) after each atom.
Fractional coordinates of all 16 atoms:
Sr (0.0000, 0.0000, 0.0000)  8 Cl 3.04
Sr (0.0000, 0.5000, 0.5000)  8 Cl 3.04
Sr (0.5000, 0.0000, 0.5000)  8 Cl 3.04
Sr (0.5000, 0.5000, 0.0000)  8 Cl 3.04
Zr (0.0000, 0.0000, 0.5000)  8 Cl 3.04
Zr (0.0000, 0.5000, 0.0000)  8 Cl 3.04
Zr (0.5000, 0.0000, 0.0000)  8 Cl 3.04
Zr (0.5000, 0.5000, 0.5000)  8 Cl 3.04
Cl (0.2500, 0.2500, 0.2500)  4 Zr 3.04, 4 Sr 3.04
Cl (0.2500, 0.2500, 0.7500)  4 Zr 3.04, 4 Sr 3.04
Cl (0.2500, 0.7500, 0.2500)  4 Zr 3.04, 4 Sr 3.04
Cl (0.2500, 0.7500, 0.7500)  4 Zr 3.04, 4 Sr 3.04
Cl (0.7500, 0.2500, 0.2500)  4 Zr 3.04, 4 Sr 3.04
Cl (0.7500, 0.2500, 0.7500)  4 Zr 3.04, 4 Sr 3.04
Cl (0.7500, 0.7500, 0.2500)  4 Zr 3.04, 4 Sr 3.04
Cl (0.7500, 0.7500, 0.7500)  4 Zr 3.04, 4 Sr 3.04

=====

The following is a DFT calculation (PBE) of a relaxed structure of Pm2PrSb3Rh4.

Results
The total magnetization is 0.0 μB per cell.

Cell: 4.4409 4.4409 11.5154 Å, 90.00 90.00 90.00°
With the nearest neighbours (Å) after each atom.
Fractional coordinates of all 10 atoms:
Pm (0.0000, 0.5000, 0.2175)  4 Sb 3.30, 8 Rh 3.35-3.49
Pm (0.5000, 0.0000, 0.7825)  4 Sb 3.30, 8 Rh 3.35-3.49
Pr (0.0000, 0.0000, 0.5000)  4 Rh 2.81, 4 Sb 3.14
Sb (0.0000, 0.5000, 0.8716)  5 Rh 2.55-2.67
Sb (0.5000, 0.0000, 0.1284)  5 Rh 2.55-2.67
Sb (0.5000, 0.5000, 0.5000)  4 Rh 2.81, 4 Pr 3.14
Rh (0.0000, 0.0000, 0.0000)  4 Sb 2.67
Rh (0.0000, 0.5000, 0.6502)  3 Sb 2.55-2.81, 2 Pr 2.81
Rh (0.5000, 0.0000, 0.3498)  3 Sb 2.55-2.81, 2 Pr 2.81
Rh (0.5000, 0.5000, 0.0000)  4 Sb 2.67

=====

The following is a DFT calculation (PBE) of a relaxed structure of TaCo2Br.

Results
The total magnetization is 3.2 μB per cell.

Cell: 3.1067 3.1066 7.0015 Å, 90.00 102.77 90.00°
With the nearest neighbours (Å) after each atom.
Fractional coordinates of all 4 atoms:
Ta (0.0000, 0.0000, 0.0000)  5 Co 2.50-2.68
Co (0.1817, 0.0000, 0.3655)  4 Co 2.40, 1 Ta 2.50
Co (0.6117, 0.5000, 0.2251)  4 Co 2.40, 4 Ta 2.68
Br (0.3605, 0.5000, 0.7243)  4 Ta 2.89-2.90, 2 Co 2.90, 4 Br 3.11

=====

The following is a DFT calculation (PBE) of a relaxed structure of Ca2TlS.

Results
The total magnetization is 0.0 μB per cell.

Cell: 7.5011 7.5011 7.5011 Å, 90.00 90.00 90.00°
With the nearest neighbours (Å) after each atom.
Fractional coordinates of all 16 atoms:
Ca (0.2500, 0.2500, 0.2500)  4 S 3.25, 4 Tl 3.25
Ca (0.2500, 0.2500, 0.7500)  4 S 3.25, 4 Tl 3.25
Ca (0.2500, 0.7500, 0.2500)  4 Tl 3.25, 4 S 3.25
Ca (0.2500, 0.7500, 0.7500)  4 S 3.25, 4 Tl 3.25
Ca (0.7500, 0.2500, 0.2500)  4 Tl 3.25, 4 S 3.25
Ca (0.7500, 0.2500, 0.7500)  4 S 3.25, 4 Tl 3.25
Ca (0.7500, 0.7500, 0.2500)  4 S 3.25, 4 Tl 3.25
Ca (0.7500, 0.7500, 0.7500)  4 Tl 3.25, 4 S 3.25
Tl (0.0000, 0.0000, 0.0000)  8 Ca 3.25
Tl (0.0000, 0.5000, 0.5000)  8 Ca 3.25
Tl (0.5000, 0.0000, 0.5000)  8 Ca 3.25
Tl (0.5000, 0.5000, 0.0000)  8 Ca 3.25
S (0.0000, 0.0000, 0.5000)  8 Ca 3.25
S (0.0000, 0.5000, 0.0000)  8 Ca 3.25
S (0.5000, 0.0000, 0.0000)  8 Ca 3.25
S (0.5000, 0.5000, 0.5000)  8 Ca 3.25

=====

The following is a DFT calculation (PBE) of a relaxed structure of SmEuTmLu.

Results
The calculation puts the formation energy at 56 kJ/mol of formula units. The total magnetization is 27.8 μB per cell.

Cell: 8.0707 8.0707 8.0707 Å, 90.00 90.00 90.00°
With the nearest neighbours (Å) after each atom.
Fractional coordinates of all 16 atoms:
Sm (0.0000, 0.0000, 0.0000)  4 Tm 3.49, 4 Lu 3.49
Sm (0.0000, 0.5000, 0.5000)  4 Tm 3.49, 4 Lu 3.49
Sm (0.5000, 0.0000, 0.5000)  4 Tm 3.49, 4 Lu 3.49
Sm (0.5000, 0.5000, 0.0000)  4 Tm 3.49, 4 Lu 3.49
Eu (0.0000, 0.0000, 0.5000)  4 Tm 3.49, 4 Lu 3.49
Eu (0.0000, 0.5000, 0.0000)  4 Tm 3.49, 4 Lu 3.49
Eu (0.5000, 0.0000, 0.0000)  4 Tm 3.49, 4 Lu 3.49
Eu (0.5000, 0.5000, 0.5000)  4 Tm 3.49, 4 Lu 3.49
Tm (0.2500, 0.2500, 0.7500)  4 Sm 3.49, 4 Eu 3.49
Tm (0.2500, 0.7500, 0.2500)  4 Sm 3.49, 4 Eu 3.49
Tm (0.7500, 0.2500, 0.2500)  4 Sm 3.49, 4 Eu 3.49
Tm (0.7500, 0.7500, 0.7500)  4 Sm 3.49, 4 Eu 3.49
Lu (0.2500, 0.2500, 0.2500)  4 Sm 3.49, 4 Eu 3.49
Lu (0.2500, 0.7500, 0.7500)  4 Sm 3.49, 4 Eu 3.49
Lu (0.7500, 0.2500, 0.7500)  4 Sm 3.49, 4 Eu 3.49
Lu (0.7500, 0.7500, 0.2500)  4 Sm 3.49, 4 Eu 3.49

=====

The following is a DFT calculation (PBE) of a relaxed structure of NaSi.

Results
The total magnetization is 0.0 μB per cell.

Cell: 11.4269 11.4269 3.7950 Å, 90.00 90.00 120.00°
With the nearest neighbours (Å) after each atom.
Fractional coordinates of all 12 atoms:
Na (0.2194, 0.7621, 0.2500)  5 Si 3.03-3.16
Na (0.2379, 0.4573, 0.2500)  5 Si 3.03-3.16
Na (0.4573, 0.2194, 0.7500)  5 Si 3.03-3.16
Na (0.5427, 0.7806, 0.2500)  5 Si 3.03-3.16
Na (0.7621, 0.5427, 0.7500)  5 Si 3.03-3.16
Na (0.7806, 0.2379, 0.7500)  5 Si 3.03-3.16
Si (0.0619, 0.5089, 0.7500)  2 Si 2.31
Si (0.4471, 0.9381, 0.7500)  2 Si 2.31
Si (0.4911, 0.5529, 0.7500)  2 Si 2.31
Si (0.5089, 0.4471, 0.2500)  2 Si 2.31
Si (0.5529, 0.0619, 0.2500)  2 Si 2.31
Si (0.9381, 0.4911, 0.2500)  2 Si 2.31

=====

The following is a DFT calculation (PBE) of a relaxed structure of HfTi2Te6.

Results
The total magnetization is 0.0 μB per cell.

Cell: 6.8330 6.8330 11.5625 Å, 90.00 90.00 90.00°
With the nearest neighbours (Å) after each atom.
Fractional coordinates of all 18 atoms:
Hf (0.0000, 0.0000, 0.0000)  6 Te 2.81-2.92
Hf (0.5000, 0.5000, 0.5000)  6 Te 2.81-2.92
Ti (0.0000, 0.0000, 0.3317)  6 Te 2.72-2.84
Ti (0.0000, 0.0000, 0.6683)  6 Te 2.72-2.84
Ti (0.5000, 0.5000, 0.1683)  6 Te 2.72-2.84
Ti (0.5000, 0.5000, 0.8317)  6 Te 2.72-2.84
Te (0.1980, 0.1980, 0.5000)  2 Ti 2.73, 1 Hf 2.92
Te (0.2059, 0.2059, 0.1713)  2 Ti 2.72-2.84, 1 Hf 2.81
Te (0.2059, 0.2059, 0.8287)  2 Ti 2.72-2.84, 1 Hf 2.81
Te (0.2941, 0.7059, 0.3287)  2 Ti 2.72-2.84, 1 Hf 2.81
Te (0.2941, 0.7059, 0.6713)  2 Ti 2.72-2.84, 1 Hf 2.81
Te (0.3020, 0.6980, 0.0000)  2 Ti 2.73, 1 Hf 2.92
Te (0.6980, 0.3020, 0.0000)  2 Ti 2.73, 1 Hf 2.92
Te (0.7059, 0.2941, 0.3287)  2 Ti 2.72-2.84, 1 Hf 2.81
Te (0.7059, 0.2941, 0.6713)  2 Ti 2.72-2.84, 1 Hf 2.81
Te (0.7941, 0.7941, 0.1713)  2 Ti 2.72-2.84, 1 Hf 2.81
Te (0.7941, 0.7941, 0.8287)  2 Ti 2.72-2.84, 1 Hf 2.81
Te (0.8020, 0.8020, 0.5000)  2 Ti 2.73, 1 Hf 2.92

=====

Sequential electronic total energy output: -3.0049 -4.1301 -6.3995 -6.6477 -3.2564 -5.8516 -3.2094 -5.5531 eV/atom